Record 1
A plane-wave DFT calculation with PBE was carried out for an optimized crystal structure of SrLi3Y.

Unit cell a=5.6525 b=5.6525 c=5.6525 alpha=90.00 beta=90.00 gamma=90.00
Space group Pm-3m (No. 221)
Inequivalent atoms, fractional coordinates:
Sr 0.0000 0.0000 0.0000 x1
Li 0.0000 0.5000 0.5000 x3
Y 0.5000 0.5000 0.5000 x1

Results
**Total magnetization**: 1.1 Bohr magnetons per cell
**Uncorrected energy**: -2.114 eV per atom
**DFT formation energy**: 320 kJ/mol of formula units
**E above lowest polymorph**: 0.000 eV/atom

---

Record 2
A plane-wave DFT calculation with PBE was carried out for an optimized crystal structure of Rb2BeAlO4.

Unit cell a=4.5665 b=11.6770 c=21.4568 alpha=90.00 beta=90.00 gamma=90.00
Space group Fddd (No. 70, origin choice 2)
Inequivalent atoms, fractional coordinates:
Rb 0.1250 0.1250 0.2978 x16
Be 0.1250 0.1250 0.6250 x8
Al 0.1250 0.1250 0.1250 x8
O 0.1085 0.2960 0.8334 x32

Results
**Total magnetization**: 8.2 Bohr magnetons per cell
**Uncorrected energy**: -5.665 eV per atom

---

Record 3
A plane-wave DFT calculation with PBE was carried out for an optimized crystal structure of KBa2SrGa.

Unit cell a=6.6695 b=6.6695 c=6.4595 alpha=90.00 beta=90.00 gamma=90.00
Space group P4/mmm (No. 123)
Inequivalent atoms, fractional coordinates:
K 0.0000 0.0000 0.0000 x1
Ba 0.0000 0.5000 0.5000 x2
Sr 0.5000 0.5000 0.0000 x1
Ga 0.5000 0.5000 0.5000 x1

Results
**Total magnetization**: 0.0 Bohr magnetons per cell
**Uncorrected energy**: -1.992 eV per atom
**DFT formation energy**: -30 kJ/mol of formula units

---

Record 4
A plane-wave DFT calculation with PBE was carried out for an optimized crystal structure of TcNiRh.

Unit cell a=2.6984 b=2.6984 c=10.9735 alpha=90.00 beta=90.00 gamma=90.00
Space group I4mm (No. 107)
Inequivalent atoms, fractional coordinates:
Tc 0.0000 0.0000 0.0000 x2
Ni 0.0000 0.0000 0.6592 x2
Rh 0.0000 0.0000 0.3288 x2

Results
**Total magnetization**: 1.5 Bohr magnetons per cell
**Uncorrected energy**: -7.833 eV per atom
**DFT formation energy**: 0 kJ/mol of formula units
**E above lowest polymorph**: 0.096 eV/atom

---

Record 5
A plane-wave DFT calculation with PBE was carried out for an optimized crystal structure of BaMg2N2.

Unit cell a=6.8914 b=6.8914 c=7.9171 alpha=90.00 beta=90.00 gamma=90.00
Space group I4/mcm (No. 140)
Inequivalent atoms, fractional coordinates:
Ba 0.0000 0.0000 0.2500 x4
Mg 0.1290 0.3710 0.0000 x8
N 0.1673 0.3327 0.5000 x8

Results
**Total magnetization**: 0.0 Bohr magnetons per cell
**Uncorrected energy**: -4.796 eV per atom

---

Record 6
A plane-wave DFT calculation with PBE was carried out for an optimized crystal structure of ZnCu3Bi.

Unit cell a=4.5383 b=4.5383 c=4.5383 alpha=90.00 beta=90.00 gamma=90.00
Space group Pm-3m (No. 221)
Inequivalent atoms, fractional coordinates:
Zn 0.0000 0.0000 0.0000 x1
Cu 0.0000 0.0000 0.5000 x3
Bi 0.5000 0.5000 0.5000 x1

Results
**Total magnetization**: 0.0 Bohr magnetons per cell
**Uncorrected energy**: -3.006 eV per atom
**DFT formation energy**: 233 kJ/mol of formula units
**E above lowest polymorph**: 0.000 eV/atom

---

Record 7
A plane-wave DFT calculation with PBE was carried out for an optimized crystal structure of DySnHgI6.

Unit cell a=7.7045 b=7.7045 c=8.8434 alpha=90.00 beta=90.00 gamma=120.00
Space group P312 (No. 149)
Inequivalent atoms, fractional coordinates:
Dy 0.0000 0.0000 0.0000 x1
Sn 0.3333 0.6667 0.0000 x1
Hg 0.6667 0.3333 0.5000 x1
I 0.0193 0.3313 0.7999 x6

Results
**Total magnetization**: 0.0 Bohr magnetons per cell
**Uncorrected energy**: -2.778 eV per atom

---

Record 8
A plane-wave DFT calculation with PBE was carried out for an optimized crystal structure of PmAl2Ag3.

Unit cell a=10.1145 b=8.6356 c=5.5899 alpha=90.00 beta=90.00 gamma=90.00
Space group Cmcm (No. 63)
Inequivalent atoms, fractional coordinates:
Pm 0.0000 0.1638 0.2500 x4
Al 0.2227 0.5000 0.0000 x8
Ag 0.0000 0.4692 0.7500 x4
Ag 0.1697 0.2181 0.7500 x8

Results
**Total magnetization**: 0.0 Bohr magnetons per cell
**Uncorrected energy**: -3.707 eV per atom
**DFT formation energy**: -140 kJ/mol of formula units
**E above lowest polymorph**: 0.000 eV/atom

---

Record 9
A plane-wave DFT calculation with PBE was carried out for an optimized crystal structure of TlReSe.

Unit cell a=3.0988 b=5.1793 c=16.5462 alpha=90.00 beta=90.00 gamma=90.00
Space group Fmm2 (No. 42)
Inequivalent atoms, fractional coordinates:
Tl 0.0000 0.0000 0.0000 x4
Re 0.0000 0.0000 0.6616 x4
Se 0.0000 0.0000 0.2769 x4

Results
**Total magnetization**: 0.0 Bohr magnetons per cell
**Uncorrected energy**: -5.434 eV per atom
**E above lowest polymorph**: 0.583 eV/atom

---

Record 10
A plane-wave DFT calculation with PBE was carried out for an optimized crystal structure of LaYMn2.

Unit cell a=10.3191 b=3.6961 c=6.9423 alpha=90.00 beta=130.27 gamma=90.00
Space group C2/m (No. 12)
Inequivalent atoms, fractional coordinates:
La 0.0000 0.0000 0.0000 x2
Y 0.0000 0.5000 0.5000 x2
Mn 0.2289 0.5000 0.4063 x4

Results
**Total magnetization**: 0.0 Bohr magnetons per cell
**Uncorrected energy**: -7.081 eV per atom
**DFT formation energy**: 136 kJ/mol of formula units
**E above lowest polymorph**: 0.243 eV/atom

---

Record 11
A plane-wave DFT calculation with PBE was carried out for an optimized crystal structure of Hf3MnCo.

Unit cell a=4.6940 b=4.6940 c=4.6940 alpha=90.00 beta=90.00 gamma=90.00
Space group Pm-3m (No. 221)
Inequivalent atoms, fractional coordinates:
Hf 0.0000 0.0000 0.5000 x3
Mn 0.0000 0.0000 0.0000 x1
Co 0.5000 0.5000 0.5000 x1

Results
**Total magnetization**: 0.0 Bohr magnetons per cell
**Uncorrected energy**: -8.522 eV per atom
**DFT formation energy**: 340 kJ/mol of formula units
**E above lowest polymorph**: 0.038 eV/atom

---

Record 12
A plane-wave DFT calculation with PBE was carried out for an optimized crystal structure of Sm2PuIn.

Unit cell a=3.6156 b=3.6156 c=8.9669 alpha=90.00 beta=90.00 gamma=90.00
Space group P4/mmm (No. 123)
Inequivalent atoms, fractional coordinates:
Sm 0.0000 0.0000 0.2345 x2
Pu 0.5000 0.5000 0.5000 x1
In 0.5000 0.5000 0.0000 x1

Results
**Total magnetization**: 6.2 Bohr magnetons per cell
**Uncorrected energy**: -6.752 eV per atom
**DFT formation energy**: -48 kJ/mol of formula units
**E above lowest polymorph**: 0.025 eV/atom